# 1
A relaxed ZnReHgO6 crystal, computed with GGA-PBE.

```
9
Lattice="-0.247 -3.653 -4.095 3.652 -3.791 -0.523 -2.579 -2.370 3.334" Properties=species:S:1:pos:R:3 pbc="T T T"
O -0.687 -2.897 -1.491
O 1.472 -4.381 -0.699
O -1.835 -3.284 0.853
O 0.620 -2.008 0.676
Zn 0.872 -6.091 -1.456
Hg 0.988 -6.116 2.777
Re -0.257 -3.613 0.087
O -0.743 -5.421 -0.345
O 0.541 -4.159 1.892
```

The calculation puts the density at 7.69 Mg/m³. The value obtained for the raw formation energy is -0.979 eV/atom.

# 2
A relaxed BaPmAgSe3 crystal, computed with GGA-PBE.

```
12
Lattice="-1.410 -1.680 -3.726 1.655 -8.174 3.061 -9.061 1.859 2.590" Properties=species:S:1:pos:R:3 pbc="T T T"
Se -7.068 -3.385 2.947
Se -1.748 -4.611 -1.022
Pm -0.705 -5.654 1.563
Se -8.073 0.350 1.643
Se -0.743 -8.346 0.282
Se -3.450 -5.718 2.630
Pm -8.110 -2.342 0.362
Ag -3.275 -7.955 1.064
Se -5.366 -2.278 -0.705
Ag -5.541 -0.041 0.861
Ba -6.587 -6.398 1.615
Ba -2.229 -1.598 0.310
```

The calculation puts the density at 5.85 Mg/m³. The value obtained for the raw formation energy is -1.547 eV/atom.

# 3
A relaxed SmDyCdAg crystal, computed with GGA-PBE.

```
4
Lattice="5.270 0.000 0.000 2.635 4.564 0.000 2.635 1.521 4.303" Properties=species:S:1:pos:R:3 pbc="T T T"
Sm 0.000 0.000 0.000
Dy 5.270 3.043 2.152
Ag 2.635 1.521 1.076
Cd 7.905 4.564 3.227
```

The calculation puts the density at 8.55 Mg/m³. As for the energy relative to the elements: -0.2935 eV/atom. The value obtained for the energy above the lowest structure with this stoichiometry is 1.1 kJ/mol of atoms.